Computed, not measured: a relaxed KTi2F crystal at the PBE-GGA level of DFT.

Cell: 6.596 6.596 6.595 Å, 60.00 60.00 90.00°
Last column: magnetic moment on the atom in μB.
Element x y z (fractional)
K 0.000 0.000 0.000  0.01
K 0.750 0.250 0.500  0.01
F 0.500 0.500 0.000  0.00
F 0.250 0.750 0.500  0.00
Ti 0.376 0.125 0.250  0.32
Ti 0.374 0.625 0.250  0.36
Ti 0.375 0.624 0.750  0.38
Ti 0.875 0.626 0.750  0.42

## Properties
For the total magnetization, the calculation gives 1.0 μB per formula unit. The final energy is -19.1 eV per formula unit. The value obtained for the density of states at the Fermi level is 7.37 states/eV per cell.